[1]
Density functional theory data (PBE) for crystalline Er2MgHg8 at its relaxed geometry.

Results
Symmetry   C2/m, No. 12
Formation energy from the elements   -227 meV/atom
Energy above the most stable polymorph in this dataset   18 meV/atom
DOS at the Fermi energy   5.14 states/eV/cell

Unit cell a=8.757 b=8.757 c=6.919 alpha=108.22 beta=108.22 gamma=31.59
Positions (direct):
Er  0.214  0.214  0.172
Er  0.786  0.786  0.828
Mg  0.500  0.500  0.500
Hg  0.024  0.024  0.231
Hg  0.161  0.161  0.689
Hg  0.347  0.347  0.615
Hg  0.395  0.395  0.077
Hg  0.605  0.605  0.923
Hg  0.653  0.653  0.385
Hg  0.839  0.839  0.311
Hg  0.976  0.976  0.769

---

[2]
Density functional theory data (PBE) for crystalline BaPtCl at its relaxed geometry.

Results
Symmetry   I4mm, No. 107
Energy relative to the elements, uncorrected   -0.684 eV/atom
Energy above the most stable polymorph in this dataset   103 meV/atom
DOS at the Fermi energy   1.53 states/eV/cell

Unit cell a=6.966 b=6.966 c=6.966 alpha=149.55 beta=149.55 gamma=43.61
Positions (direct):
Ba  0.000  0.000  0.000
Pt  0.663  0.663  0.000
Cl  0.364  0.364  0.000

---

[3]
Density functional theory data (PBE) for crystalline BaSr3Ir at its relaxed geometry.

Results
Symmetry   Amm2, No. 38
Formation energy from the elements   211 meV/atom
Energy above the most stable polymorph in this dataset   375 meV/atom
DOS at the Fermi energy   5.05 states/eV/cell

Unit cell a=4.418 b=7.836 c=7.836 alpha=62.04 beta=90.00 gamma=90.00
Positions (direct):
Ba  0.000  0.000  0.000
Sr  0.000  0.555  0.555
Sr  0.500  0.038  0.509
Sr  0.500  0.509  0.038
Ir  0.500  0.425  0.425

---

[4]
Density functional theory data (PBE) for crystalline Tm12PuIn3 at its relaxed geometry.

Results
Symmetry   P4/mmm, No. 123
Formation energy from the elements   -167 meV/atom
DOS at the Fermi energy   22.83 states/eV/cell

Unit cell a=4.783 b=4.783 c=19.394 alpha=90.00 beta=90.00 gamma=90.00
Positions (direct):
Tm  0.000  0.000  0.000
Tm  0.000  0.000  0.247
Tm  0.000  0.000  0.500
Tm  0.000  0.000  0.753
Tm  0.000  0.500  0.124
Tm  0.000  0.500  0.373
Tm  0.000  0.500  0.627
Tm  0.000  0.500  0.876
Tm  0.500  0.000  0.124
Tm  0.500  0.000  0.373
Tm  0.500  0.000  0.627
Tm  0.500  0.000  0.876
Pu  0.500  0.500  0.500
In  0.500  0.500  0.000
In  0.500  0.500  0.246
In  0.500  0.500  0.754

---

[5]
Density functional theory data (PBE) for crystalline CoRu at its relaxed geometry.

Results
Symmetry   P6_3/mmc, No. 194
Formation energy from the elements   798 meV/atom
DOS at the Fermi energy   6.93 states/eV/cell

Unit cell a=3.683 b=3.683 c=4.735 alpha=90.00 beta=90.00 gamma=120.00
Positions (direct):
Co  0.000  0.000  0.000
Co  0.000  0.000  0.500
Ru  0.333  0.667  0.250
Ru  0.667  0.333  0.750

---

[6]
Density functional theory data (PBE) for crystalline Pu2TcC2 at its relaxed geometry.

Results
Symmetry   C2/m, No. 12
Formation energy from the elements   -31 meV/atom
Energy above the most stable polymorph in this dataset   25 meV/atom
DOS at the Fermi energy   24.75 states/eV/cell

Unit cell a=5.698 b=5.698 c=6.337 alpha=111.03 beta=111.03 gamma=53.69
Positions (direct):
Pu  0.005  0.005  0.228
Pu  0.308  0.308  0.364
Pu  0.692  0.692  0.636
Pu  0.995  0.995  0.772
Tc  0.353  0.353  0.892
Tc  0.647  0.647  0.108
C  0.166  0.166  0.614
C  0.499  0.499  0.756
C  0.501  0.501  0.244
C  0.834  0.834  0.386

---

[7]
Density functional theory data (PBE) for crystalline Mn3FeP at its relaxed geometry.

Results
Symmetry   Pm-3m, No. 221
Formation energy from the elements   580 meV/atom
Energy above the most stable polymorph in this dataset   0 meV/atom
DOS at the Fermi energy   3.38 states/eV/cell

Unit cell a=4.081 b=4.081 c=4.081 alpha=90.00 beta=90.00 gamma=90.00
Positions (direct):
Mn  0.000  0.000  0.500
Mn  0.000  0.500  0.000
Mn  0.500  0.000  0.000
Fe  0.500  0.500  0.500
P  0.000  0.000  0.000

---

[8]
Density functional theory data (PBE) for crystalline LiZrI4 at its relaxed geometry.

Results
Symmetry   I-4, No. 82
Energy relative to the elements, uncorrected   -0.816 eV/atom
Energy above the most stable polymorph in this dataset   153 meV/atom
DOS at the Fermi energy   5.13 states/eV/cell

Unit cell a=7.918 b=7.918 c=7.918 alpha=128.89 beta=128.89 gamma=75.19
Positions (direct):
Li  0.000  0.000  0.000
Zr  0.750  0.250  0.500
I  0.109  0.620  0.969
I  0.380  0.349  0.489
I  0.651  0.140  0.031
I  0.860  0.891  0.511

---

[9]
Density functional theory data (PBE) for crystalline Dy2Y8Zn at its relaxed geometry.

Results
Symmetry   C2/m, No. 12
Formation energy from the elements   -23 meV/atom
DOS at the Fermi energy   17.58 states/eV/cell

Unit cell a=9.999 b=9.999 c=6.401 alpha=94.41 beta=94.41 gamma=32.03
Positions (direct):
Dy  0.242  0.242  0.333
Dy  0.758  0.758  0.667
Y  0.043  0.043  0.255
Y  0.157  0.157  0.806
Y  0.344  0.344  0.873
Y  0.423  0.423  0.389
Y  0.577  0.577  0.611
Y  0.656  0.656  0.127
Y  0.843  0.843  0.194
Y  0.957  0.957  0.745
Zn  0.500  0.500  0.000

---

[10]
Density functional theory data (PBE) for crystalline Na3SnOs at its relaxed geometry.

Results
Symmetry   Pm-3m, No. 221
Formation energy from the elements   1499 meV/atom
Energy above the most stable polymorph in this dataset   196 meV/atom
DOS at the Fermi energy   17.56 states/eV/cell

Unit cell a=5.785 b=5.785 c=5.785 alpha=90.00 beta=90.00 gamma=90.00
Positions (direct):
Na  0.000  0.000  0.500
Na  0.000  0.500  0.000
Na  0.500  0.000  0.000
Sn  0.000  0.000  0.000
Os  0.500  0.500  0.500

---

[11]
Density functional theory data (PBE) for crystalline MgPd3Cl9 at its relaxed geometry.

Results
Symmetry   Cc, No. 9
Energy relative to the elements, uncorrected   -0.691 eV/atom
DOS at the Fermi energy   4.80 states/eV/cell

Unit cell a=10.366 b=10.366 c=12.750 alpha=126.10 beta=126.10 gamma=37.12
Positions (direct):
Mg  0.183  0.817  0.500
Mg  0.817  0.183  0.000
Pd  0.060  0.487  0.380
Pd  0.363  0.553  0.210
Pd  0.440  0.800  0.077
Pd  0.487  0.060  0.880
Pd  0.553  0.363  0.710
Pd  0.800  0.440  0.577
Cl  0.015  0.786  0.554
Cl  0.120  0.174  0.207
Cl  0.137  0.851  0.902
Cl  0.174  0.120  0.707
Cl  0.219  0.540  0.285
Cl  0.234  0.427  0.992
Cl  0.412  0.985  0.005
Cl  0.427  0.234  0.492
Cl  0.437  0.730  0.430
Cl  0.540  0.219  0.785
Cl  0.544  0.546  0.148
Cl  0.546  0.544  0.648
Cl  0.730  0.437  0.930
Cl  0.732  0.765  0.258
Cl  0.765  0.732  0.758
Cl  0.786  0.015  0.054
Cl  0.851  0.137  0.402
Cl  0.985  0.412  0.505

---

[12]
Density functional theory data (PBE) for crystalline RuRh at its relaxed geometry.

Results
Symmetry   Cm, No. 8
Formation energy from the elements   10 meV/atom
DOS at the Fermi energy   6.25 states/eV/cell

Unit cell a=5.132 b=5.132 c=6.431 alpha=103.44 beta=103.44 gamma=30.80
Positions (direct):
Ru  0.000  0.000  0.000
Ru  0.054  0.054  0.607
Ru  0.395  0.395  0.279
Rh  0.338  0.338  0.668
Rh  0.667  0.667  0.330
Rh  0.723  0.723  0.944